Entry 1:
VASP calculation (PBE) on a geometry-optimized Dy3RuPb structure.

Lattice parameters (Å, degrees): 7.081 8.996 8.996 75.84 89.99 89.99
Positions (direct):
Dy (0.605, 0.823, 0.949)
Dy (0.895, 0.051, 0.177)
Dy (0.395, 0.177, 0.051)
Dy (0.105, 0.949, 0.823)
Dy (0.777, 0.440, 0.059)
Dy (0.723, 0.941, 0.560)
Dy (0.223, 0.560, 0.941)
Dy (0.277, 0.059, 0.440)
Dy (0.605, 0.552, 0.677)
Dy (0.895, 0.323, 0.448)
Dy (0.395, 0.448, 0.323)
Dy (0.105, 0.677, 0.552)
Ru (0.886, 0.698, 0.802)
Ru (0.614, 0.198, 0.302)
Ru (0.114, 0.302, 0.198)
Ru (0.386, 0.802, 0.698)
Pb (0.250, 0.804, 0.196)
Pb (0.750, 0.196, 0.804)
Pb (0.250, 0.304, 0.696)
Pb (0.750, 0.696, 0.304)

N(E_F) in states/eV/f.u.: 4.23
Offset from the most stable computed form in eV/f.u.: 0.292
Space group: C2/c

***

Entry 2:
VASP calculation (PBE) on a geometry-optimized DyScRuPb structure.

Lattice parameters (Å, degrees): 3.344 3.344 8.011 90.00 90.00 90.00
Positions (direct):
Dy (0.500, 0.500, 0.772)
Sc (0.500, 0.500, 0.372)
Ru (0.000, 0.000, 0.552)
Pb (0.000, 0.000, 0.090)

N(E_F) in states/eV/f.u.: 1.21
Offset from the most stable computed form in eV/f.u.: 0.000
Space group: P4mm

***

Entry 3:
VASP calculation (PBE) on a geometry-optimized DyScRuPb structure.

Lattice parameters (Å, degrees): 4.983 4.983 4.983 60.00 60.00 60.00
Positions (direct):
Pb (0.250, 0.250, 0.250)
Ru (0.750, 0.750, 0.750)
Sc (0.000, 0.000, 0.000)
Dy (0.500, 0.500, 0.500)

N(E_F) in states/eV/f.u.: 2.28
Offset from the most stable computed form in eV/f.u.: 0.887
Space group: F-43m

***

DFT formation energy values, unit eV/atom, following the record order: -0.333, -0.500, -0.278.